Entry 1:
A plane-wave DFT calculation with GGA-PBEsol was carried out for a relaxed structure of TlSbPb.

Geometry as POSCAR:
```
TlSbPb
1.0
3.3791 0.0000 0.0000
0.0000 3.3791 0.0000
-1.6895 -1.6895 7.4548
Sb Pb Tl
1 1 1
Direct
0.6651 0.6651 0.3303 Sb
0.0051 0.0051 0.0102 Pb
0.3297 0.3297 0.6595 Tl
```

Calculated values
* E above lowest polymorph: 48 meV/atom
* space group: I4mm
* formation energy (no corrections): 0.17 eV/f.u.

***

Entry 2:
A plane-wave DFT calculation with GGA-PBEsol was carried out for a relaxed structure of CaCd.

Geometry as POSCAR:
```
CaCd
1.0
-1.3340 -0.4796 3.2514
5.1018 -0.5571 2.0110
-0.8759 5.9006 -1.4237
Cd Ca
2 2
Direct
0.3516 0.1469 0.7032 Cd
0.6484 0.8531 0.2968 Cd
0.8982 0.6780 0.7963 Ca
0.1018 0.3220 0.2037 Ca
```

Calculated values
* space group: C2/m
* energy of formation from the pure elements: -0.288 eV per atom

***

Entry 3:
A plane-wave DFT calculation with GGA-PBEsol was carried out for a relaxed structure of Be2OsRu.

Geometry as POSCAR:
```
Be2OsRu
1.0
-0.9567 2.6825 2.8366
-3.6347 1.7165 -0.0011
-2.6732 -0.9522 2.8469
Os Ru Be
1 1 2
Direct
0.5000 0.5000 0.5000 Os
0.2500 0.2500 0.2500 Ru
0.7500 0.7500 0.7500 Be
0.0000 0.0000 0.0000 Be
```

Calculated values
* E above lowest polymorph: 297 meV/atom
* space group: F-43m
* energy of formation from the pure elements: 0.077 eV per atom

***

Number 1: energy -0.1349 Ha/atom. Number 2: energy -0.0718 Ha/atom. Number 3: energy -0.2764 Ha/atom.